No. 1
This record from the Alexandria database describes CaGa2Ag after structural relaxation. The functional is PBE.

Unit cell a=3.409 b=3.409 c=7.123 alpha=90.00 beta=90.00 gamma=90.00
Atoms (fractional coordinates):
Ca1 0.500 0.500 0.500
Ga1 0.000 0.000 0.794
Ga2 0.000 0.000 0.206
Ag1 0.500 0.500 0.000

Calculated values
DFT formation energy	-0.24	eV per atom
M_tot	0.00	μB per formula unit
crystal system	tetragonal
SG	P4/mmm (123)
N(E_F)	1.22	states/eV per cell


No. 2
This record from the Alexandria database describes La4Mg2Fe after structural relaxation. The functional is PBE.

Unit cell a=5.216 b=5.216 c=9.267 alpha=106.34 beta=106.34 gamma=90.00
Atoms (fractional coordinates):
Mg1 0.637 0.637 0.274
Mg2 0.363 0.363 0.726
Fe1 0.000 0.000 0.000
La1 0.832 0.832 0.665
La2 0.168 0.168 0.335
La3 0.000 0.500 0.000
La4 0.500 0.000 0.000

Calculated values
DFT formation energy	0.10	eV per atom
M_tot	0.00	μB per formula unit
crystal system	tetragonal
SG	I4/mmm (139)
N(E_F)	12.35	states/eV per cell


The calculation returns the following electronic total energy values, one per record and in order: -11.9; -30.6 eV/f.u..